Here is LiMoAu2 after structural relaxation from the Alexandria database. Energies are from PBE.

As for the energy above the most stable polymorph in this dataset: 0.221 eV per atom. As for the raw total energy: -4.67 eV per atom. The calculation puts the formation energy from the elements at 0.61 eV/f.u. Its density of states at the Fermi level is 5.3 states/eV/f.u.

It has space group Fm-3m (No. 225), with a = 6.409 Å, b = 6.409 Å, c = 6.409 Å, α = 90.00°, β = 90.00° and γ = 90.00°. The asymmetric unit holds Li at (0.000, 0.000, 0.000), Mo at (0.000, 0.000, 0.500) and Au at (0.250, 0.250, 0.250).

---

Here is Li3MoAu after structural relaxation from the Alexandria database. Energies are from PBE.

As for the energy above the most stable polymorph in this dataset: 0.000 eV per atom. As for the raw total energy: -3.28 eV per atom. The calculation puts the formation energy from the elements at 3.47 eV/f.u. Its density of states at the Fermi level is 3.1 states/eV/f.u.

It has space group Pm-3m (No. 221), with a = 4.779 Å, b = 4.779 Å, c = 4.779 Å, α = 90.00°, β = 90.00° and γ = 90.00°. The asymmetric unit holds Li at (0.000, 0.000, 0.500), Mo at (0.500, 0.500, 0.500) and Au at (0.000, 0.000, 0.000).